[1]
This record from the Alexandria database describes a relaxed structure of DyYSnPb. The functional is GGA-PBE.

Cell and atoms, written as CIF:
```
data_DyYSnPb
_chemical_formula_sum 'Dy1 Y1 Sn1 Pb1'
_cell_length_a 5.409
_cell_length_b 5.409
_cell_length_c 5.409
_cell_angle_alpha 60.00
_cell_angle_beta 60.00
_cell_angle_gamma 60.00
_space_group_name_H-M_alt 'P 1'
_space_group_IT_number 1
loop_
_space_group_symop_operation_xyz
'x,y,z'
loop_
_atom_site_label
_atom_site_type_symbol
_atom_site_fract_x
_atom_site_fract_y
_atom_site_fract_z
Dy1 Dy 0.250 0.250 0.250
Sn1 Sn 0.500 0.500 0.500
Y1 Y 0.750 0.750 0.750
Pb1 Pb 0.000 0.000 0.000
```

Properties
The electronic total energy is -5.17 eV per atom. As for the formation energy: -183 kJ/mol of formula units. The value obtained for the magnetic moment is 0.00 μB per cell.

=====

[2]
This record from the Alexandria database describes a relaxed structure of Sr3DyPb12. The functional is GGA-PBE.

Cell and atoms, written as CIF:
```
data_Sr3DyPb12
_chemical_formula_sum 'Sr3 Dy1 Pb12'
_cell_length_a 4.984
_cell_length_b 4.984
_cell_length_c 20.037
_cell_angle_alpha 90.00
_cell_angle_beta 90.00
_cell_angle_gamma 90.00
_space_group_name_H-M_alt 'P 1'
_space_group_IT_number 1
loop_
_space_group_symop_operation_xyz
'x,y,z'
loop_
_atom_site_label
_atom_site_type_symbol
_atom_site_fract_x
_atom_site_fract_y
_atom_site_fract_z
Pb1 Pb 0.500 0.500 0.248
Pb2 Pb 0.500 0.500 0.000
Pb3 Pb 0.000 0.500 0.881
Pb4 Pb 0.500 0.500 0.500
Pb5 Pb 0.500 0.000 0.119
Pb6 Pb 0.500 0.000 0.881
Pb7 Pb 0.500 0.000 0.626
Pb8 Pb 0.500 0.500 0.752
Pb9 Pb 0.000 0.500 0.374
Pb10 Pb 0.000 0.500 0.626
Pb11 Pb 0.000 0.500 0.119
Pb12 Pb 0.500 0.000 0.374
Sr1 Sr 0.000 0.000 0.500
Sr2 Sr 0.000 0.000 0.755
Sr3 Sr 0.000 0.000 0.245
Dy1 Dy 0.000 0.000 0.000
```

Properties
The electronic total energy is -3.72 eV per atom. As for the formation energy: -512 kJ/mol of formula units. The value obtained for the magnetic moment is 0.00 μB per cell.

=====

[3]
This record from the Alexandria database describes a relaxed structure of SrDy2Pb9. The functional is GGA-PBE.

Cell and atoms, written as CIF:
```
data_SrDy2Pb9
_chemical_formula_sum 'Sr1 Dy2 Pb9'
_cell_length_a 4.977
_cell_length_b 4.977
_cell_length_c 14.492
_cell_angle_alpha 90.00
_cell_angle_beta 90.00
_cell_angle_gamma 90.00
_space_group_name_H-M_alt 'P 1'
_space_group_IT_number 1
loop_
_space_group_symop_operation_xyz
'x,y,z'
loop_
_atom_site_label
_atom_site_type_symbol
_atom_site_fract_x
_atom_site_fract_y
_atom_site_fract_z
Pb1 Pb 0.500 0.000 0.500
Pb2 Pb 0.000 0.500 0.174
Pb3 Pb 0.500 0.000 0.826
Pb4 Pb 0.500 0.500 0.336
Pb5 Pb 0.000 0.500 0.826
Pb6 Pb 0.500 0.500 0.000
Pb7 Pb 0.500 0.500 0.664
Pb8 Pb 0.500 0.000 0.174
Pb9 Pb 0.000 0.500 0.500
Dy1 Dy 0.000 0.000 0.339
Dy2 Dy 0.000 0.000 0.661
Sr1 Sr 0.000 0.000 0.000
```

Properties
The electronic total energy is -4.00 eV per atom. As for the formation energy: -356 kJ/mol of formula units. The value obtained for the magnetic moment is 0.00 μB per cell.

=====

[4]
This record from the Alexandria database describes a relaxed structure of Sr3DyPb4. The functional is GGA-PBE.

Cell and atoms, written as CIF:
```
data_Sr3DyPb4
_chemical_formula_sum 'Sr3 Dy1 Pb4'
_cell_length_a 4.050
_cell_length_b 4.050
_cell_length_c 16.498
_cell_angle_alpha 90.00
_cell_angle_beta 90.00
_cell_angle_gamma 90.00
_space_group_name_H-M_alt 'P 1'
_space_group_IT_number 1
loop_
_space_group_symop_operation_xyz
'x,y,z'
loop_
_atom_site_label
_atom_site_type_symbol
_atom_site_fract_x
_atom_site_fract_y
_atom_site_fract_z
Sr1 Sr 0.500 0.500 0.236
Sr2 Sr 0.500 0.500 0.500
Sr3 Sr 0.500 0.500 0.764
Pb1 Pb 0.000 0.000 0.364
Pb2 Pb 0.000 0.000 0.900
Pb3 Pb 0.000 0.000 0.636
Pb4 Pb 0.000 0.000 0.100
Dy1 Dy 0.500 0.500 0.000
```

Properties
The electronic total energy is -3.55 eV per atom. As for the formation energy: -381 kJ/mol of formula units. The value obtained for the magnetic moment is 0.00 μB per cell.

=====

[5]
This record from the Alexandria database describes a relaxed structure of SrDy4Pb5. The functional is GGA-PBE.

Cell and atoms, written as CIF:
```
data_SrDy4Pb5
_chemical_formula_sum 'Sr1 Dy4 Pb5'
_cell_length_a 4.061
_cell_length_b 4.061
_cell_length_c 18.022
_cell_angle_alpha 90.00
_cell_angle_beta 90.00
_cell_angle_gamma 90.00
_space_group_name_H-M_alt 'P 1'
_space_group_IT_number 1
loop_
_space_group_symop_operation_xyz
'x,y,z'
loop_
_atom_site_label
_atom_site_type_symbol
_atom_site_fract_x
_atom_site_fract_y
_atom_site_fract_z
Dy1 Dy 0.000 0.000 0.214
Dy2 Dy 0.000 0.000 0.595
Dy3 Dy 0.000 0.000 0.405
Dy4 Dy 0.000 0.000 0.786
Pb1 Pb 0.500 0.500 0.309
Pb2 Pb 0.500 0.500 0.119
Pb3 Pb 0.500 0.500 0.881
Pb4 Pb 0.500 0.500 0.500
Pb5 Pb 0.500 0.500 0.691
Sr1 Sr 0.000 0.000 0.000
```

Properties
The electronic total energy is -4.29 eV per atom. As for the formation energy: -408 kJ/mol of formula units. The value obtained for the magnetic moment is 0.73 μB per cell.

=====

[6]
This record from the Alexandria database describes a relaxed structure of SrDyPb. The functional is GGA-PBE.

Cell and atoms, written as CIF:
```
data_SrDyPb
_chemical_formula_sum 'Sr2 Dy2 Pb2'
_cell_length_a 6.226
_cell_length_b 3.681
_cell_length_c 9.647
_cell_angle_alpha 79.00
_cell_angle_beta 90.00
_cell_angle_gamma 90.00
_space_group_name_H-M_alt 'P 1'
_space_group_IT_number 1
loop_
_space_group_symop_operation_xyz
'x,y,z'
loop_
_atom_site_label
_atom_site_type_symbol
_atom_site_fract_x
_atom_site_fract_y
_atom_site_fract_z
Pb1 Pb 0.250 0.146 0.707
Pb2 Pb 0.750 0.854 0.293
Sr1 Sr 0.750 0.672 0.657
Sr2 Sr 0.250 0.328 0.343
Dy1 Dy 0.500 0.000 0.000
Dy2 Dy 0.000 0.000 0.000
```

Properties
The electronic total energy is -3.49 eV per atom. As for the formation energy: -45 kJ/mol of formula units. The value obtained for the magnetic moment is 0.01 μB per cell.

=====

[7]
This record from the Alexandria database describes a relaxed structure of SrDyTlPb. The functional is GGA-PBE.

Cell and atoms, written as CIF:
```
data_SrDyTlPb
_chemical_formula_sum 'Sr1 Dy1 Tl1 Pb1'
_cell_length_a 5.598
_cell_length_b 5.598
_cell_length_c 5.598
_cell_angle_alpha 60.00
_cell_angle_beta 60.00
_cell_angle_gamma 60.00
_space_group_name_H-M_alt 'P 1'
_space_group_IT_number 1
loop_
_space_group_symop_operation_xyz
'x,y,z'
loop_
_atom_site_label
_atom_site_type_symbol
_atom_site_fract_x
_atom_site_fract_y
_atom_site_fract_z
Sr1 Sr 0.250 0.250 0.250
Pb1 Pb 0.500 0.500 0.500
Tl1 Tl 0.000 0.000 0.000
Dy1 Dy 0.750 0.750 0.750
```

Properties
The electronic total energy is -3.46 eV per atom. As for the formation energy: -141 kJ/mol of formula units. The value obtained for the magnetic moment is 0.00 μB per cell.

=====

[8]
This record from the Alexandria database describes a relaxed structure of SrDyZnPb. The functional is GGA-PBE.

Cell and atoms, written as CIF:
```
data_SrDyZnPb
_chemical_formula_sum 'Sr1 Dy1 Zn1 Pb1'
_cell_length_a 5.459
_cell_length_b 5.459
_cell_length_c 5.459
_cell_angle_alpha 60.00
_cell_angle_beta 60.00
_cell_angle_gamma 60.00
_space_group_name_H-M_alt 'P 1'
_space_group_IT_number 1
loop_
_space_group_symop_operation_xyz
'x,y,z'
loop_
_atom_site_label
_atom_site_type_symbol
_atom_site_fract_x
_atom_site_fract_y
_atom_site_fract_z
Dy1 Dy 0.750 0.750 0.750
Zn1 Zn 0.000 0.000 0.000
Sr1 Sr 0.250 0.250 0.250
Pb1 Pb 0.500 0.500 0.500
```

Properties
The electronic total energy is -3.12 eV per atom. As for the formation energy: -118 kJ/mol of formula units. The value obtained for the magnetic moment is 0.00 μB per cell.

=====

[9]
This record from the Alexandria database describes a relaxed structure of Tb4DyPb5. The functional is GGA-PBE.

Cell and atoms, written as CIF:
```
data_Tb4DyPb5
_chemical_formula_sum 'Tb4 Dy1 Pb5'
_cell_length_a 6.309
_cell_length_b 7.729
_cell_length_c 7.729
_cell_angle_alpha 80.41
_cell_angle_beta 65.91
_cell_angle_gamma 65.91
_space_group_name_H-M_alt 'P 1'
_space_group_IT_number 1
loop_
_space_group_symop_operation_xyz
'x,y,z'
loop_
_atom_site_label
_atom_site_type_symbol
_atom_site_fract_x
_atom_site_fract_y
_atom_site_fract_z
Pb1 Pb 0.300 0.801 0.600
Pb2 Pb 0.901 0.400 0.801
Pb3 Pb 0.701 0.199 0.400
Pb4 Pb 0.502 0.000 0.000
Pb5 Pb 0.101 0.600 0.199
Tb1 Tb 0.401 0.400 0.799
Tb2 Tb 0.600 0.600 0.201
Tb3 Tb 0.801 0.799 0.600
Tb4 Tb 0.201 0.201 0.400
Dy1 Dy 0.002 0.000 0.000
```

Properties
The electronic total energy is -4.51 eV per atom. As for the formation energy: -333 kJ/mol of formula units. The value obtained for the magnetic moment is 0.00 μB per cell.

=====

[10]
This record from the Alexandria database describes a relaxed structure of TbDy3Pb3. The functional is GGA-PBE.

Cell and atoms, written as CIF:
```
data_TbDy3Pb3
_chemical_formula_sum 'Tb2 Dy6 Pb6'
_cell_length_a 9.209
_cell_length_b 9.209
_cell_length_c 8.113
_cell_angle_alpha 55.42
_cell_angle_beta 55.42
_cell_angle_gamma 60.00
_space_group_name_H-M_alt 'P 1'
_space_group_IT_number 1
loop_
_space_group_symop_operation_xyz
'x,y,z'
loop_
_atom_site_label
_atom_site_type_symbol
_atom_site_fract_x
_atom_site_fract_y
_atom_site_fract_z
Pb1 Pb 0.313 0.530 0.241
Pb2 Pb 0.470 0.084 0.759
Pb3 Pb 0.530 0.916 0.241
Pb4 Pb 0.916 0.313 0.241
Pb5 Pb 0.084 0.687 0.759
Pb6 Pb 0.687 0.470 0.759
Dy1 Dy 0.834 0.089 0.741
Dy2 Dy 0.089 0.337 0.741
Dy3 Dy 0.337 0.834 0.741
Dy4 Dy 0.166 0.911 0.259
Dy5 Dy 0.911 0.663 0.259
Dy6 Dy 0.663 0.166 0.259
Tb1 Tb 0.670 0.670 0.991
Tb2 Tb 0.330 0.330 0.009
```

Properties
The electronic total energy is -4.58 eV per atom. As for the formation energy: -238 kJ/mol of formula units. The value obtained for the magnetic moment is 0.00 μB per cell.